No. 1
DFT (SCAN) results for a crystal of SrCo2Ru relaxed with PBEsol.

Total moment, μB per atom: 1.11
VASP energy, eV per atom: -22.429
Energy above the most stable polymorph in this dataset, eV/atom: 0.308
Space-group type: P4/mmm
Density of states at the Fermi level, states/eV/atom: 0.5404
Energy of formation, eV/f.u.: 1.995

Lattice parameters (Å, degrees): 3.042 3.042 6.975 90.00 90.00 90.00
Fractional coordinates of all 4 atoms:
Ru  0.500  0.500  0.000
Co  0.000  0.000  0.826
Co  0.000  0.000  0.174
Sr  0.500  0.500  0.500


No. 2
DFT (SCAN) results for a crystal of SrCoRu2 relaxed with PBEsol.

Total moment, μB per atom: 0.71
VASP energy, eV per atom: -26.648
Energy above the most stable polymorph in this dataset, eV/atom: 0.000
Space-group type: P4/mmm
Density of states at the Fermi level, states/eV/atom: 1.1281
Energy of formation, eV/f.u.: 2.641

Lattice parameters (Å, degrees): 2.845 2.845 7.859 90.00 90.00 90.00
Fractional coordinates of all 4 atoms:
Co  0.500  0.500  0.500
Ru  0.000  0.000  0.683
Ru  0.000  0.000  0.317
Sr  0.500  0.500  0.000


> What is the formula in the second record?

SrCoRu2